Below is an optimized crystal structure of Ta2ZnPb, with properties calculated at the PBE level.

a b c (Å): 3.984 4.603 8.286
angles (deg): 90.00 90.00 90.00
Space group Cmmm (No. 65)
Asymmetric unit:
Ta 0.000 0.000 0.218 [4 per cell]
Zn 0.000 0.500 0.000 [2 per cell]
Pb 0.000 0.500 0.500 [2 per cell]

E in eV per atom: -6.756
Energy of formation from the pure elements in eV/atom: 0.42
Spin magnetization in μB per atom: 0.00